# 1
LiGeSbAu | PBE | optimized geometry

```
data_LiGeSbAu
_space_group_name_H-M_alt 'F -4 3 m'
_space_group_IT_number 216
_space_group_name_Hall 'F -4 2 3'
_cell_length_a 6.8870
_cell_length_b 6.8870
_cell_length_c 6.8870
_cell_angle_alpha 90.00
_cell_angle_beta 90.00
_cell_angle_gamma 90.00
loop_
_atom_site_label
_atom_site_type_symbol
_atom_site_fract_x
_atom_site_fract_y
_atom_site_fract_z
Li1 Li 0.0000 0.0000 0.0000
Ge1 Ge 0.0000 0.0000 0.5000
Sb1 Sb 0.2500 0.2500 0.7500
Au1 Au 0.2500 0.2500 0.2500
```

Properties
As for the crystal system: cubic. The raw formation energy is -0.0834 eV/atom.

=====

# 2
Cd2TcBr | PBE | optimized geometry

```
data_Cd2TcBr
_space_group_name_H-M_alt 'C m m 2'
_space_group_IT_number 35
_space_group_name_Hall 'C 2 -2'
_cell_length_a 3.0235
_cell_length_b 5.4677
_cell_length_c 10.8845
_cell_angle_alpha 90.00
_cell_angle_beta 90.00
_cell_angle_gamma 90.00
loop_
_atom_site_label
_atom_site_type_symbol
_atom_site_fract_x
_atom_site_fract_y
_atom_site_fract_z
Cd1 Cd 0.0000 0.0000 0.0000
Cd2 Cd 0.0000 0.5000 0.2571
Tc1 Tc 0.0000 0.5000 0.7798
Br1 Br 0.0000 0.0000 0.5989
```

Properties
As for the crystal system: orthorhombic. The raw formation energy is 0.4012 eV/atom. The offset from the most stable computed form is 0.1578 eV/atom.

=====

# 3
Tl6HgTe2 | PBE | optimized geometry

```
data_Tl6HgTe2
_space_group_name_H-M_alt 'A m m 2'
_space_group_IT_number 38
_space_group_name_Hall 'A 2 -2'
_cell_length_a 4.8179
_cell_length_b 15.8325
_cell_length_c 8.0944
_cell_angle_alpha 90.00
_cell_angle_beta 90.00
_cell_angle_gamma 90.00
loop_
_atom_site_label
_atom_site_type_symbol
_atom_site_fract_x
_atom_site_fract_y
_atom_site_fract_z
Tl1 Tl 0.0000 0.0000 0.0000
Tl2 Tl 0.0000 0.1382 0.6447
Tl3 Tl 0.5000 0.0000 0.3220
Tl4 Tl 0.5000 0.2090 0.9593
Hg1 Hg 0.5000 0.0000 0.7226
Te1 Te 0.0000 0.1595 0.2565
```

Properties
As for the crystal system: orthorhombic. The raw formation energy is -0.1589 eV/atom.

=====

# 4
BaTi2GaCo | PBE | optimized geometry

```
data_BaTi2GaCo
_space_group_name_H-M_alt 'P 4/m m m'
_space_group_IT_number 123
_space_group_name_Hall '-P 4 2'
_cell_length_a 4.8345
_cell_length_b 4.8345
_cell_length_c 6.0820
_cell_angle_alpha 90.00
_cell_angle_beta 90.00
_cell_angle_gamma 90.00
loop_
_atom_site_label
_atom_site_type_symbol
_atom_site_fract_x
_atom_site_fract_y
_atom_site_fract_z
Ba1 Ba 0.0000 0.0000 0.0000
Ti1 Ti 0.0000 0.5000 0.5000
Ga1 Ga 0.0000 0.0000 0.5000
Co1 Co 0.5000 0.5000 0.0000
```

Properties
As for the crystal system: tetragonal. The calculated formation energy is 1.096 eV/atom.

=====

# 5
MnCr2Mo | PBE | optimized geometry

```
data_MnCr2Mo
_space_group_name_H-M_alt 'I m m 2'
_space_group_IT_number 44
_space_group_name_Hall 'I 2 -2'
_cell_length_a 2.9358
_cell_length_b 4.1485
_cell_length_c 8.2419
_cell_angle_alpha 90.00
_cell_angle_beta 90.00
_cell_angle_gamma 90.00
loop_
_atom_site_label
_atom_site_type_symbol
_atom_site_fract_x
_atom_site_fract_y
_atom_site_fract_z
Mn1 Mn 0.0000 0.0000 0.0000
Cr1 Cr 0.0000 0.0000 0.5085
Cr2 Cr 0.0000 0.5000 0.2481
Mo1 Mo 0.0000 0.5000 0.7564
```

Properties
As for the crystal system: orthorhombic. The calculated formation energy is 0.105 eV/atom. The offset from the most stable computed form is 0.0172 eV/atom.

=====

# 6
PuMgBr6 | PBE | optimized geometry

```
data_PuMgBr6
_space_group_name_H-M_alt 'C 1 2/m 1'
_space_group_IT_number 12
_space_group_name_Hall '-C 2y'
_cell_length_a 7.3680
_cell_length_b 12.6663
_cell_length_c 6.9133
_cell_angle_alpha 90.00
_cell_angle_beta 93.56
_cell_angle_gamma 90.00
loop_
_atom_site_label
_atom_site_type_symbol
_atom_site_fract_x
_atom_site_fract_y
_atom_site_fract_z
Pu1 Pu 0.0000 0.0000 0.0000
Mg1 Mg 0.0000 0.0000 0.5000
Br1 Br 0.1449 0.1456 0.7518
Br2 Br 0.2104 0.5000 0.7230
```

Properties
As for the crystal system: monoclinic. The raw formation energy is -1.3270 eV/atom. The offset from the most stable computed form is 0.0000 eV/atom.

=====

# 7
CeS2O8F | PBE | optimized geometry

```
data_CeS2O8F
_space_group_name_H-M_alt 'C 1 2/m 1'
_space_group_IT_number 12
_space_group_name_Hall '-C 2y'
_cell_length_a 10.8676
_cell_length_b 6.2875
_cell_length_c 4.6663
_cell_angle_alpha 90.00
_cell_angle_beta 90.07
_cell_angle_gamma 90.00
loop_
_atom_site_label
_atom_site_type_symbol
_atom_site_fract_x
_atom_site_fract_y
_atom_site_fract_z
Ce1 Ce 0.0000 0.0000 0.0000
S1 S 0.1668 0.5000 0.2764
O1 O 0.1024 0.3085 0.1636
O2 O 0.1679 0.5000 0.5874
O3 O 0.2055 0.0000 0.8393
F1 F 0.0000 0.0000 0.5000
```

Properties
As for the crystal system: monoclinic. The raw formation energy is -1.7935 eV/atom.

=====

# 8
TbSmYHo | PBE | optimized geometry

```
data_TbSmYHo
_space_group_name_H-M_alt 'F -4 3 m'
_space_group_IT_number 216
_space_group_name_Hall 'F -4 2 3'
_cell_length_a 8.0558
_cell_length_b 8.0558
_cell_length_c 8.0558
_cell_angle_alpha 90.00
_cell_angle_beta 90.00
_cell_angle_gamma 90.00
loop_
_atom_site_label
_atom_site_type_symbol
_atom_site_fract_x
_atom_site_fract_y
_atom_site_fract_z
Tb1 Tb 0.0000 0.0000 0.0000
Sm1 Sm 0.2500 0.2500 0.7500
Y1 Y 0.2500 0.2500 0.2500
Ho1 Ho 0.0000 0.0000 0.5000
```

Properties
As for the crystal system: cubic. The calculated formation energy is 0.140 eV/atom. The offset from the most stable computed form is 0.1209 eV/atom.

=====

# 9
MgIn2 | PBE | optimized geometry

```
data_MgIn2
_space_group_name_H-M_alt 'C 1 2/m 1'
_space_group_IT_number 12
_space_group_name_Hall '-C 2y'
_cell_length_a 11.5109
_cell_length_b 3.4249
_cell_length_c 7.9818
_cell_angle_alpha 90.00
_cell_angle_beta 107.95
_cell_angle_gamma 90.00
loop_
_atom_site_label
_atom_site_type_symbol
_atom_site_fract_x
_atom_site_fract_y
_atom_site_fract_z
Mg1 Mg 0.0226 0.0000 0.2927
In1 In 0.1451 0.5000 0.0459
In2 In 0.1832 0.5000 0.6215
```

Properties
As for the crystal system: monoclinic. The calculated formation energy is -0.047 eV/atom.

=====

# 10
Ta2TlCd | PBE | optimized geometry

```
data_Ta2TlCd
_space_group_name_H-M_alt 'R -3 m'
_space_group_IT_number 166
_space_group_name_Hall '-R 3 2"'
_cell_length_a 3.0443
_cell_length_b 3.0443
_cell_length_c 30.0663
_cell_angle_alpha 90.00
_cell_angle_beta 90.00
_cell_angle_gamma 120.00
loop_
_atom_site_label
_atom_site_type_symbol
_atom_site_fract_x
_atom_site_fract_y
_atom_site_fract_z
Ta1 Ta 0.0000 0.0000 0.2502
Tl1 Tl 0.0000 0.0000 0.5000
Cd1 Cd 0.0000 0.0000 0.0000
```

Properties
As for the crystal system: trigonal. The calculated formation energy is 0.489 eV/atom.

=====

We obtain magnetization values of 0.00 0.57 0.00 0.06 0.01 8.00 2.21 0.00 0.00 0.00 μB per cell for the records listed above, in that order.
We obtain electronic total energy values of -3.566 -3.066 -2.468 -4.473 -9.706 -4.572 -6.437 -4.958 -2.404 -6.257 eV/atom for the records listed above, in that order.